[1]
The following is a PBE-GGA calculation of Ta2RuAu after structural relaxation, from the Alexandria database.

Structure (POSCAR):
```
Ta2RuAu
1.0
3.0077 0.0000 0.0000
0.0000 3.9176 0.0000
-0.3132 0.0000 5.7108
Ta Ru Au
2 1 1
Cartesian
-0.0070 0.0000 1.5093
2.7014 0.0000 4.2016
1.3472 1.9588 2.8554
1.5038 1.9588 0.0000
```

Calculated density ... 16.29 g/cm³
E_form ... -14 kJ per mole of atoms
SG ... P2/m (10)

=====

[2]
The following is a PBE-GGA calculation of SrLiInAu2 after structural relaxation, from the Alexandria database.

Structure (POSCAR):
```
SrLiInAu2
1.0
-2.1495 2.1495 6.4491
2.1495 -2.1495 6.4491
2.1495 2.1495 -6.4491
Sr Li In Au
1 1 1 2
Cartesian
0.0000 0.0000 0.0000
2.1495 0.0000 3.2246
0.0000 2.1495 3.2246
0.0000 0.0000 5.0455
0.0000 0.0000 7.8528
```

Calculated density ... 8.41 g/cm³
E_form ... -60 kJ per mole of atoms
SG ... I-4m2 (119)

=====

[3]
The following is a PBE-GGA calculation of KMg2TlBr8 after structural relaxation, from the Alexandria database.

Structure (POSCAR):
```
KMg2TlBr8
1.0
6.5793 0.0000 0.0000
0.0000 8.3374 0.0000
-0.2825 0.0000 6.9278
K Mg Tl Br
1 2 1 8
Cartesian
0.0000 0.0000 0.0000
3.1484 2.0889 3.4639
3.1484 6.2485 3.4639
0.0000 4.1687 0.0000
1.5709 4.1687 4.4354
1.7114 2.2813 1.1177
1.7114 6.0561 1.1177
1.7532 0.0000 4.4484
4.5436 0.0000 2.4793
4.5855 2.2813 5.8101
4.5855 6.0561 5.8101
4.7260 4.1687 2.4923
```

Calculated density ... 4.07 g/cm³
Energy relative to the elements, uncorrected ... -1087 meV per atom
SG ... P2/m (10)

=====

[4]
The following is a PBE-GGA calculation of PtSN2F after structural relaxation, from the Alexandria database.

Structure (POSCAR):
```
PtSN2F
1.0
3.5670 0.0000 0.0000
0.0000 3.5670 0.0000
0.0000 0.0000 6.2581
Pt S N F
1 1 2 1
Cartesian
0.0000 0.0000 0.0000
1.7835 1.7835 0.0000
0.0000 1.7835 3.1290
1.7835 0.0000 3.1290
1.7835 1.7835 3.1290
```

Calculated density ... 5.72 g/cm³
Energy relative to the elements, uncorrected ... 2229 meV per atom
SG ... P4/mmm (123)

=====

[5]
The following is a PBE-GGA calculation of CrCo4Tc after structural relaxation, from the Alexandria database.

Structure (POSCAR):
```
CrCo4Tc
1.0
0.0000 3.2509 3.2509
3.2509 0.0000 3.2509
3.2509 3.2509 0.0000
Cr Co Tc
1 4 1
Cartesian
0.0000 0.0000 0.0000
2.4367 2.4367 2.4367
4.0651 4.0651 2.4367
4.0651 2.4367 4.0651
2.4367 4.0651 4.0651
4.8764 4.8764 4.8764
```

Calculated density ... 9.32 g/cm³
E_form ... 16 kJ per mole of atoms
SG ... F-43m (216)

=====

[6]
The following is a PBE-GGA calculation of La5PdSe4 after structural relaxation, from the Alexandria database.

Structure (POSCAR):
```
La5PdSe4
1.0
-2.1533 2.1533 15.3285
2.1533 -2.1533 15.3285
2.1533 2.1533 -15.3285
La Pd Se
5 1 4
Cartesian
0.0000 0.0000 0.0000
0.0000 0.0000 6.1406
0.0000 0.0000 12.2370
0.0000 0.0000 18.4201
0.0000 0.0000 24.5164
0.0000 0.0000 15.3285
0.0000 0.0000 3.0801
0.0000 0.0000 9.2060
0.0000 0.0000 21.4511
0.0000 0.0000 27.5770
```

Calculated density ... 6.52 g/cm³
Energy relative to the elements, uncorrected ... -1732 meV per atom
SG ... I4/mmm (139)